GGA-PBE NdGdDy, optimized geometry; Fermi-level density of states = 1.945 states/eV/atom; energy relative to the elements = 0.10 eV per atom; E = -7.715 eV/atom; ΔE to the lowest computed polymorph = 83.2 meV/atom
1.0
4.192 0.000 0.000
0.000 4.192 0.000
0.000 0.000 11.415
Nd Gd Dy
2 2 2
direct
0.000 0.000 0.000
0.500 0.500 0.500
0.000 0.000 0.328
0.500 0.500 0.828
0.000 0.000 0.671
0.500 0.500 0.171


GGA-PBE K2Sb, optimized geometry; Fermi-level density of states = 1.351 states/eV/atom; raw formation energy = -0.304 eV/atom; E = -2.410 eV/atom; ΔE to the lowest computed polymorph = 102.2 meV/atom
1.0
3.852 0.000 0.000
0.000 11.954 0.000
0.000 0.000 10.091
K Sb
8 4
direct
0.000 0.089 0.000
0.000 0.345 0.174
0.000 0.655 0.674
0.000 0.911 0.500
0.500 0.155 0.674
0.500 0.411 0.500
0.500 0.589 0.000
0.500 0.845 0.174
0.000 0.378 0.819
0.000 0.622 0.319
0.500 0.122 0.319
0.500 0.878 0.819


GGA-PBE LiCu2Ni, optimized geometry; Fermi-level density of states = 0.828 states/eV/atom; energy relative to the elements = 0.26 eV per atom; E = -3.709 eV/atom; ΔE to the lowest computed polymorph = 309.0 meV/atom
1.0
2.463 0.000 0.000
0.000 4.305 0.000
0.000 0.000 9.682
Li Cu Ni
2 4 2
direct
0.000 0.000 0.000
0.500 0.500 0.500
0.000 0.000 0.256
0.000 0.000 0.744
0.500 0.500 0.244
0.500 0.500 0.756
0.000 0.000 0.500
0.500 0.500 0.000


GGA-PBE Pr6ZnPt2Br3, optimized geometry; Fermi-level density of states = 0.876 states/eV/atom; raw formation energy = -1.033 eV/atom; E = -4.954 eV/atom
1.0
3.701 -6.370 0.000
3.701 6.370 0.000
-2.464 0.000 7.692
Pr Zn Pt Br
6 1 2 3
direct
0.082 0.427 0.788
0.223 0.223 0.208
0.427 0.082 0.788
0.573 0.918 0.212
0.777 0.777 0.792
0.918 0.573 0.212
0.500 0.500 0.000
0.168 0.832 0.000
0.832 0.168 0.000
0.000 0.000 0.500
0.338 0.662 0.500
0.662 0.338 0.500


GGA-PBE Ti5Tc6Sn, optimized geometry; Fermi-level density of states = 0.940 states/eV/atom; energy relative to the elements = -0.40 eV per atom; E = -9.204 eV/atom
1.0
4.414 0.000 0.000
0.000 6.314 0.000
-2.216 0.000 6.621
Ti Tc Sn
5 6 1
direct
0.000 0.000 0.000
0.334 0.000 0.668
0.335 0.500 0.670
0.665 0.500 0.330
0.666 0.000 0.332
0.170 0.247 0.341
0.170 0.753 0.341
0.500 0.236 0.000
0.500 0.764 0.000
0.830 0.247 0.659
0.830 0.753 0.659
0.000 0.500 0.000


GGA-PBE NdCd2Au4, optimized geometry; Fermi-level density of states = 0.369 states/eV/atom; energy relative to the elements = -0.50 eV per atom; E = -3.311 eV/atom
1.0
7.250 0.000 0.000
0.000 7.250 0.000
0.000 0.000 5.590
Nd Cd Au
2 4 8
direct
0.000 0.000 0.000
0.500 0.500 0.500
0.000 0.500 0.250
0.000 0.500 0.750
0.500 0.000 0.250
0.500 0.000 0.750
0.196 0.196 0.500
0.196 0.804 0.500
0.304 0.304 0.000
0.304 0.696 0.000
0.696 0.304 0.000
0.696 0.696 0.000
0.804 0.196 0.500
0.804 0.804 0.500


GGA-PBE Pr4SnBiSe2, optimized geometry; Fermi-level density of states = 0.237 states/eV/atom; raw formation energy = -1.344 eV/atom; E = -5.590 eV/atom
1.0
7.669 0.000 0.000
0.000 4.458 0.000
-2.586 0.000 7.281
Pr Sn Bi Se
4 1 1 2
direct
0.239 0.000 0.241
0.241 0.500 0.751
0.759 0.500 0.249
0.761 0.000 0.759
0.500 0.000 0.000
0.500 0.500 0.500
0.000 0.000 0.500
0.000 0.500 0.000


GGA-PBE BaBeRu4, optimized geometry; Fermi-level density of states = 1.279 states/eV/atom; energy relative to the elements = 0.87 eV per atom; E = -6.252 eV/atom
1.0
0.000 3.794 3.794
3.794 0.000 3.794
3.794 3.794 0.000
Ba Be Ru
1 1 4
direct
0.000 0.000 0.000
0.750 0.750 0.750
0.376 0.376 0.376
0.376 0.376 0.871
0.376 0.871 0.376
0.871 0.376 0.376


GGA-PBE UTlSe2O, optimized geometry; Fermi-level density of states = 0.961 states/eV/atom; raw formation energy = -1.409 eV/atom; E = -6.525 eV/atom
1.0
7.908 0.000 0.000
0.000 4.187 0.000
-2.638 0.000 8.764
U Tl Se O
2 2 4 2
direct
0.193 0.250 0.179
0.807 0.750 0.821
0.279 0.250 0.682
0.721 0.750 0.318
0.156 0.750 0.373
0.181 0.750 0.955
0.819 0.250 0.045
0.844 0.250 0.627
0.437 0.250 0.240
0.563 0.750 0.760


GGA-PBE RbNa2Tl2Sn2, optimized geometry; Fermi-level density of states = 0.522 states/eV/atom; energy relative to the elements = -0.13 eV per atom; E = -2.468 eV/atom
1.0
8.964 0.000 0.000
0.000 5.179 0.000
-3.001 0.000 10.122
Rb Na Tl Sn
2 4 4 4
direct
0.000 0.000 0.000
0.500 0.500 0.000
0.146 0.000 0.437
0.354 0.500 0.563
0.646 0.500 0.437
0.854 0.000 0.563
0.241 0.500 0.223
0.259 0.000 0.777
0.741 0.000 0.223
0.759 0.500 0.777
0.051 0.500 0.654
0.449 0.000 0.346
0.551 0.000 0.654
0.949 0.500 0.346


GGA-PBE Sr2BeCuAu6, optimized geometry; Fermi-level density of states = 0.268 states/eV/atom; energy relative to the elements = -0.46 eV per atom; E = -3.549 eV/atom
1.0
5.655 -3.261 0.000
5.655 3.261 0.000
-3.769 0.000 5.963
Sr Be Cu Au
2 1 1 6
direct
0.220 0.220 0.159
0.780 0.780 0.841
0.000 0.000 0.500
0.500 0.500 0.000
0.241 0.690 0.674
0.242 0.242 0.676
0.310 0.759 0.326
0.690 0.241 0.674
0.758 0.758 0.324
0.759 0.310 0.326


GGA-PBE CaSc2Ta, optimized geometry; Fermi-level density of states = 1.474 states/eV/atom; energy relative to the elements = 0.44 eV per atom; E = -6.193 eV/atom; ΔE to the lowest computed polymorph = 220.6 meV/atom
1.0
6.600 0.000 0.000
0.000 9.210 0.000
0.000 0.000 3.124
Ca Sc Ta
2 4 2
direct
0.000 0.000 0.000
0.500 0.500 0.000
0.250 0.250 0.500
0.250 0.750 0.500
0.750 0.250 0.500
0.750 0.750 0.500
0.000 0.500 0.000
0.500 0.000 0.000


Spin magnetization values, unit μB/f.u., following the record order: 8.11; 0.00; 0.32; 0.00; 0.00; 0.00; 0.00; 3.41; 1.00; 0.00; 0.00; 0.00.